# TlGe2Cl

A relaxed TlGe2Cl crystal (PBE-GGA, the Alexandria database).

Cell and atoms, written as POSCAR:
```
TlGe2Cl
1.0
4.537 0.000 0.000
0.000 4.537 0.000
2.268 2.268 10.269
Ge Tl Cl
4 2 2
direct
0.875 0.786 0.750
0.375 0.464 0.750
0.214 0.625 0.250
0.536 0.125 0.250
0.750 0.250 0.500
0.000 0.000 0.000
0.250 0.750 0.500
0.500 0.500 0.000
```

Calculated values
crystal system = tetragonal
offset from the most stable computed form = 0.0000 eV/atom
uncorrected formation energy = 0.069 eV per atom
volume = 26.422 Å³/atom